# 1
A geometry-optimized AlZnAg2 structure. Source: Alexandria via LeMat-Bulk, functional GGA-PBEsol. Values from VASP.

space-group type: P2/m
total moment: 0.00 μB/f.u.
D(E_F): 0.870 states/eV/f.u.
DFT formation energy: -0.26 eV per formula unit

Cell and atoms, written as Quantum ESPRESSO input:
```
&SYSTEM
  ibrav = 0, nat = 4, ntyp = 3
/
ATOMIC_SPECIES
Ag 107.87 Ag.upf
Zn 65.41 Zn.upf
Al 26.98 Al.upf
CELL_PARAMETERS angstrom
2.9250 0.0000 -0.4522
0.0000 3.6027 0.0000
-2.0651 0.0000 6.1827
ATOMIC_POSITIONS crystal
Ag 0.2502 0.0000 0.2503
Ag 0.7498 0.0000 0.7497
Zn 0.0000 0.5000 0.5000
Al 0.5000 0.5000 0.0000
```



# 2
A geometry-optimized AlZnAg2 structure. Source: Alexandria via LeMat-Bulk, functional GGA-PBEsol. Values from VASP.

space-group type: F-43m
total moment: 0.00 μB/f.u.
D(E_F): 0.812 states/eV/f.u.
DFT formation energy: -0.02 eV per formula unit

Cell and atoms, written as Quantum ESPRESSO input:
```
&SYSTEM
  ibrav = 0, nat = 4, ntyp = 3
/
ATOMIC_SPECIES
Ag 107.87 Ag.upf
Zn 65.41 Zn.upf
Al 26.98 Al.upf
CELL_PARAMETERS angstrom
4.4648 0.0000 0.0000
2.2324 3.8666 0.0000
2.2324 1.2889 3.6455
ATOMIC_POSITIONS crystal
Ag 0.0000 0.0000 0.0000
Ag 0.2500 0.2500 0.2500
Zn 0.7500 0.7500 0.7500
Al 0.5000 0.5000 0.5000
```



# 3
A geometry-optimized AlZn4Ag structure. Source: Alexandria via LeMat-Bulk, functional GGA-PBEsol. Values from VASP.

space-group type: F-43m
total moment: 0.00 μB/f.u.
D(E_F): 1.724 states/eV/f.u.
DFT formation energy: 0.22 eV per formula unit

Cell and atoms, written as Quantum ESPRESSO input:
```
&SYSTEM
  ibrav = 0, nat = 6, ntyp = 3
/
ATOMIC_SPECIES
Ag 107.87 Ag.upf
Zn 65.41 Zn.upf
Al 26.98 Al.upf
CELL_PARAMETERS angstrom
-4.8561 1.0909 0.7118
-2.4010 -1.7487 4.0566
-1.3558 3.1543 3.6730
ATOMIC_POSITIONS crystal
Ag 0.7500 0.7500 0.7500
Zn 0.8746 0.3752 0.3752
Zn 0.3752 0.8746 0.3752
Zn 0.3752 0.3752 0.3752
Zn 0.3752 0.3752 0.8746
Al 0.0000 0.0000 0.0000
```



# 4
A geometry-optimized AlZnAg2 structure. Source: Alexandria via LeMat-Bulk, functional GGA-PBEsol. Values from VASP.

space-group type: C2
total moment: 0.00 μB/f.u.
D(E_F): 1.116 states/eV/f.u.
DFT formation energy: -0.29 eV per formula unit

Cell and atoms, written as Quantum ESPRESSO input:
```
&SYSTEM
  ibrav = 0, nat = 4, ntyp = 3
/
ATOMIC_SPECIES
Al 26.98 Al.upf
Zn 65.41 Zn.upf
Ag 107.87 Ag.upf
CELL_PARAMETERS angstrom
-0.7386 -3.8130 0.2067
1.2335 -0.0315 3.6885
-4.0347 2.7367 -0.6869
ATOMIC_POSITIONS crystal
Al 0.4999 0.5001 0.0000
Zn 0.2502 0.7498 0.5000
Ag 0.7505 0.2495 0.5000
Ag 0.9994 0.0006 0.0000
```



# 5
A geometry-optimized Al2ZnAg structure. Source: Alexandria via LeMat-Bulk, functional GGA-PBEsol. Values from VASP.

space-group type: P4/mmm
total moment: 0.00 μB/f.u.
D(E_F): 1.531 states/eV/f.u.
DFT formation energy: 0.01 eV per formula unit

Cell and atoms, written as Quantum ESPRESSO input:
```
&SYSTEM
  ibrav = 0, nat = 4, ntyp = 3
/
ATOMIC_SPECIES
Al 26.98 Al.upf
Ag 107.87 Ag.upf
Zn 65.41 Zn.upf
CELL_PARAMETERS angstrom
-2.8248 -0.0034 0.1586
0.0384 -2.7588 0.6261
0.4314 1.7580 7.7195
ATOMIC_POSITIONS crystal
Al 0.0000 0.0000 0.2462
Al 0.0000 0.0000 0.7538
Ag 0.5000 0.5000 0.5000
Zn 0.5000 0.5000 0.0000
```



# 6
A geometry-optimized Al2ZnAg structure. Source: Alexandria via LeMat-Bulk, functional GGA-PBEsol. Values from VASP.

space-group type: Pmm2
total moment: 0.00 μB/f.u.
D(E_F): 1.279 states/eV/f.u.
DFT formation energy: -0.07 eV per formula unit

Cell and atoms, written as Quantum ESPRESSO input:
```
&SYSTEM
  ibrav = 0, nat = 4, ntyp = 3
/
ATOMIC_SPECIES
Zn 65.41 Zn.upf
Ag 107.87 Ag.upf
Al 26.98 Al.upf
CELL_PARAMETERS angstrom
2.8877 0.0000 0.0000
0.0000 3.9012 0.0000
0.0000 0.0000 5.5723
ATOMIC_POSITIONS crystal
Zn 0.0000 0.0000 0.4907
Ag 0.5000 0.5000 0.7515
Al 0.0000 0.0000 0.0000
Al 0.5000 0.5000 0.2579
```



# 7
A geometry-optimized AlZn2Ag structure. Source: Alexandria via LeMat-Bulk, functional GGA-PBEsol. Values from VASP.

space-group type: F-43m
total moment: 0.00 μB/f.u.
D(E_F): 1.532 states/eV/f.u.
DFT formation energy: 0.32 eV per formula unit

Cell and atoms, written as Quantum ESPRESSO input:
```
&SYSTEM
  ibrav = 0, nat = 4, ntyp = 3
/
ATOMIC_SPECIES
Ag 107.87 Ag.upf
Zn 65.41 Zn.upf
Al 26.98 Al.upf
CELL_PARAMETERS angstrom
-0.6736 4.0737 -1.6012
-3.7908 0.9641 -2.0769
-2.9607 2.6736 1.9233
ATOMIC_POSITIONS crystal
Ag 0.5000 0.5000 0.5000
Zn 0.0000 0.0000 0.0000
Zn 0.2500 0.2500 0.2500
Al 0.7500 0.7500 0.7500
```



# 8
A geometry-optimized AlZn2Ag structure. Source: Alexandria via LeMat-Bulk, functional GGA-PBEsol. Values from VASP.

space-group type: Imm2
total moment: 0.00 μB/f.u.
D(E_F): 1.144 states/eV/f.u.
DFT formation energy: 0.11 eV per formula unit

Cell and atoms, written as Quantum ESPRESSO input:
```
&SYSTEM
  ibrav = 0, nat = 4, ntyp = 3
/
ATOMIC_SPECIES
Zn 65.41 Zn.upf
Al 26.98 Al.upf
Ag 107.87 Ag.upf
CELL_PARAMETERS angstrom
-0.5090 1.7445 -2.0903
-4.3813 0.5899 1.5591
3.8877 2.4646 2.9454
ATOMIC_POSITIONS crystal
Zn 0.0041 0.0041 0.0083
Zn 0.7476 0.2476 0.4951
Al 0.2506 0.7506 0.5012
Ag 0.4977 0.4977 0.9954
```



Question: Which of these has the lowest DFT formation energy?
Answer: number 4



Question: Number 4 is which compound?
Answer: AlZnAg2